The following is a PBE calculation of a relaxed NaYCdO3 crystal, from Alexandria via LeMat-Bulk.

DOS at the Fermi energy (states/eV per atom): 0.000
ΔE_f (raw) (meV/atom): -2191
Magnetic moment (μB per formula unit): 0.00
Volume (Å³/cell): 166.4

Geometry as POSCAR:
```
NaYCdO3
1.0
-1.1113 1.7924 -2.6965
0.3072 -6.7712 -4.6276
-5.6003 -1.1849 1.5204
O Y Cd Na
6 2 2 2
Cartesian
-2.2653 -5.6917 -3.9363
-4.1391 -0.4720 -1.8674
-1.8595 -2.3902 -4.0819
-4.5449 -3.7735 -1.7218
-5.7628 -5.3554 -4.4444
-0.6416 -0.8082 -1.3593
-0.5520 -4.2173 -3.6624
-5.8524 -1.9463 -2.1413
-4.0966 -7.1323 -4.1392
-2.3079 0.9686 -1.6645
-2.5380 -2.3299 -1.5893
-3.8664 -3.8338 -4.2145
```

=====

The following is a PBE calculation of a relaxed NaYCd2O crystal, from Alexandria via LeMat-Bulk.

DOS at the Fermi energy (states/eV per atom): 0.322
ΔE_f (raw) (meV/atom): -758
Magnetic moment (μB per formula unit): 0.00
Volume (Å³/cell): 129.4

Geometry as POSCAR:
```
NaYCd2O
1.0
-0.5600 2.8539 4.6941
2.7083 -2.6371 1.9264
4.2136 3.2507 -1.4737
O Na Y Cd
1 1 1 2
Cartesian
0.0000 0.0000 0.0000
3.1809 1.7338 2.5734
1.3541 -1.3186 0.9632
-0.2800 1.4270 2.3471
2.1068 1.6254 -0.7369
```

=====

The following is a PBE calculation of a relaxed Na2Zn2CdO4 crystal, from Alexandria via LeMat-Bulk.

ΔE_f (raw) (meV/atom): -1308
Magnetic moment (μB per formula unit): 0.00
Volume (Å³/cell): 126.8

Geometry as POSCAR:
```
Na2Zn2CdO4
1.0
3.3402 0.0000 0.0000
-1.6701 6.4084 -2.3493
0.0000 -4.0025 7.3887
Cd O Na Zn
1 4 2 2
Cartesian
0.0000 0.0000 0.0000
0.0000 2.5220 -0.1100
0.0000 2.5976 3.4103
1.6701 -0.1917 1.6291
1.6701 -0.1161 5.1495
0.0000 0.0916 3.3321
1.6701 2.3143 1.7074
1.6701 -1.8942 6.0531
0.0000 4.3001 -1.0137
```

=====

The following is a PBE calculation of a relaxed NaZnCdO3 crystal, from Alexandria via LeMat-Bulk.

DOS at the Fermi energy (states/eV per atom): 0.525
ΔE_f (raw) (meV/atom): -1019
Magnetic moment (μB per formula unit): 0.94
Volume (Å³/cell): 189.4

Geometry as POSCAR:
```
NaZnCdO3
1.0
-1.2999 -2.9193 0.2163
-0.2522 0.5905 6.4545
-8.3173 3.6421 -0.8311
O Na Zn Cd
6 2 2 2
Cartesian
-2.0683 -1.5277 2.5235
-5.1207 1.7656 4.9124
-7.8011 2.8409 3.3162
-6.8596 2.2124 0.4919
-3.0099 -0.8992 5.3478
-4.7488 -0.4524 0.9273
-2.2622 0.1917 0.8496
-7.6073 1.1215 4.9901
-4.7669 -0.1241 5.2496
-5.1026 1.4373 0.5901
-8.2608 1.1822 1.8810
-1.6087 0.1311 3.9586
```

=====

The following is a PBE calculation of a relaxed Na2ZrCdO4 crystal, from Alexandria via LeMat-Bulk.

DOS at the Fermi energy (states/eV per atom): 0.000
ΔE_f (raw) (meV/atom): -2105
Magnetic moment (μB per formula unit): 0.00
Volume (Å³/cell): 106.5

Geometry as POSCAR:
```
Na2ZrCdO4
1.0
3.2864 0.0000 0.0000
0.0000 5.9153 -0.0805
0.0000 2.1163 5.4497
Na O Cd Zr
2 4 1 1
Cartesian
1.6432 1.0582 2.7248
0.0000 2.1163 5.4496
3.2864 2.2842 1.4426
1.6433 4.8566 1.5276
0.0001 5.7473 3.9266
1.6432 3.1750 3.8415
1.6432 2.9576 -0.0402
0.0000 4.0158 2.6846
```

=====

The following is a PBE calculation of a relaxed Na3ZrCd2O6 crystal, from Alexandria via LeMat-Bulk.

DOS at the Fermi energy (states/eV per atom): 0.610
ΔE_f (raw) (meV/atom): -1731
Magnetic moment (μB per formula unit): 1.10
Volume (Å³/cell): 160.4

Geometry as POSCAR:
```
Na3ZrCd2O6
1.0
5.7521 0.0136 -0.0104
-2.8629 4.9890 -0.0104
-0.9738 -1.6862 5.5882
O Cd Na Zr
6 2 3 1
Cartesian
-0.8868 1.5230 1.2365
2.8022 1.7934 4.3309
2.0015 3.4656 1.1986
0.1530 3.3234 4.3309
1.7624 -0.0070 1.2365
-0.0861 -0.1492 4.3689
2.8809 1.6718 -0.0104
0.0083 3.3308 -0.0104
-1.8626 3.2870 2.7837
0.9577 1.6582 2.7837
3.7779 0.0294 2.7837
0.0000 0.0000 0.0000
```

=====

The following is a PBE calculation of a relaxed NaCd2Os2 crystal, from Alexandria via LeMat-Bulk.

DOS at the Fermi energy (states/eV per atom): 0.925
Magnetic moment (μB per formula unit): 0.61
Volume (Å³/cell): 198.4
Energy above the most stable polymorph in this dataset (meV per atom): 0
Formation energy (meV per atom): 614

Geometry as POSCAR:
```
NaCd2Os2
1.0
8.4064 0.0000 0.0000
0.0000 8.4064 0.0000
0.0000 0.0000 2.8072
Na Cd Os
2 4 4
Cartesian
4.2032 4.2032 0.0000
0.0000 0.0000 0.0000
6.7958 2.5926 1.4036
5.8138 6.7958 1.4036
1.6106 5.8138 1.4036
2.5926 1.6106 1.4036
3.3680 7.5712 0.0000
7.5712 5.0385 0.0000
0.8353 3.3680 0.0000
5.0385 0.8353 0.0000
```

=====

The following is a PBE calculation of a relaxed NaCd2Os2 crystal, from Alexandria via LeMat-Bulk.

DOS at the Fermi energy (states/eV per atom): 0.970
Magnetic moment (μB per formula unit): 0.47
Volume (Å³/cell): 198.7
Energy above the most stable polymorph in this dataset (meV per atom): 16
Formation energy (meV per atom): 630

Geometry as POSCAR:
```
NaCd2Os2
1.0
-3.3419 -6.7293 3.8547
5.9149 -4.9264 -3.4721
1.6551 0.4375 2.1987
Cd Os Na
4 4 2
Cartesian
3.7517 -6.0610 -1.6179
-1.1787 -5.5946 2.0006
1.3865 -8.8475 0.7169
1.1864 -2.8081 -0.3343
4.0403 -3.4011 -0.5987
4.1529 -8.2511 0.2817
0.0752 -2.9670 2.2996
0.1877 -7.8170 3.1800
1.2865 -5.8278 0.1913
0.0000 0.0000 0.0000
```